i:
The following is a SCAN calculation of a PBEsol-optimized structure of CuTc2Rh, from Alexandria.

Unit cell a=2.6122 b=2.6122 c=8.8089 alpha=90.00 beta=90.00 gamma=115.49
Sites, in units of the cell vectors:
1 Cu 0.0000 0.0000 0.0000
2 Tc 0.0000 0.0000 0.4986
3 Tc 0.5000 0.5000 0.2506
4 Rh 0.5000 0.5000 0.7541

Output
The value obtained for the magnetization is 0.000 μB per atom. Its volume is 13.56 A^3/atom. As for the crystal system: orthorhombic.

ii:
The following is a SCAN calculation of a PBEsol-optimized structure of CuTc2Rh, from Alexandria.

Unit cell a=8.8883 b=8.8883 c=8.8883 alpha=17.15 beta=17.15 gamma=17.15
Sites, in units of the cell vectors:
1 Cu 0.0000 0.0000 0.0000
2 Tc 0.2502 0.2502 0.2502
3 Tc 0.7498 0.7498 0.7498
4 Rh 0.5000 0.5000 0.5000

Output
The value obtained for the magnetization is 0.000 μB per atom. Its volume is 13.32 A^3/atom. As for the crystal system: trigonal.

iii:
The following is a SCAN calculation of a PBEsol-optimized structure of CuTc2Rh, from Alexandria.

Unit cell a=4.6891 b=4.6891 c=4.4919 alpha=99.79 beta=99.79 gamma=33.19
Sites, in units of the cell vectors:
1 Cu 0.0000 0.0000 0.0000
2 Tc 0.2466 0.2466 0.7497
3 Tc 0.7534 0.7534 0.2503
4 Rh 0.5000 0.5000 0.5000

Output
The value obtained for the magnetization is 0.000 μB per atom. Its volume is 13.30 A^3/atom. As for the crystal system: monoclinic.

Most stable structure, least stable structure: ii, i.

i:
The following is a SCAN calculation of a PBEsol-optimized structure of TlCu2Rh, from Alexandria.

Unit cell a=3.8435 b=3.8435 c=3.9024 alpha=90.00 beta=90.00 gamma=90.00
Sites, in units of the cell vectors:
1 Tl 0.0000 0.0000 0.0000
2 Cu 0.0000 0.5000 0.5000
3 Cu 0.5000 0.0000 0.5000
4 Rh 0.5000 0.5000 0.0000

Output
The value obtained for the magnetization is 0.000 μB per atom. Its volume is 14.41 A^3/atom. As for the crystal system: tetragonal.

ii:
The following is a SCAN calculation of a PBEsol-optimized structure of TlCu2Rh, from Alexandria.

Unit cell a=8.4300 b=8.4300 c=8.4300 alpha=19.91 beta=19.91 gamma=19.91
Sites, in units of the cell vectors:
1 Tl 0.0000 0.0000 0.0000
2 Cu 0.4978 0.4978 0.4978
3 Cu 0.7584 0.7584 0.7584
4 Rh 0.2429 0.2429 0.2429

Output
The value obtained for the magnetization is 0.000 μB per atom. Its volume is 15.19 A^3/atom. As for the crystal system: trigonal.

iii:
The following is a SCAN calculation of a PBEsol-optimized structure of TlCu2Rh, from Alexandria.

Unit cell a=2.9268 b=3.6786 c=5.4862 alpha=90.00 beta=90.00 gamma=90.00
Sites, in units of the cell vectors:
1 Tl 0.0000 0.0000 0.0000
2 Cu 0.5000 0.5000 0.2797
3 Cu 0.5000 0.5000 0.7203
4 Rh 0.0000 0.0000 0.5000

Output
The value obtained for the magnetization is 0.000 μB per atom. Its volume is 14.77 A^3/atom. As for the crystal system: orthorhombic.

Most stable structure, least stable structure: i, ii.

i:
The following is a SCAN calculation of a PBEsol-optimized structure of Cu2RhW, from Alexandria.

Unit cell a=5.1058 b=5.1058 c=2.6322 alpha=102.67 beta=102.67 gamma=119.99
Sites, in units of the cell vectors:
1 Cu 0.0000 0.5000 0.0000
2 Cu 0.5000 0.0000 0.0000
3 Rh 0.0000 0.0000 0.5000
4 W 0.5000 0.5000 0.5000

Output
The value obtained for the magnetization is 0.000 μB per atom. Its volume is 13.35 A^3/atom. As for the crystal system: monoclinic.

ii:
The following is a SCAN calculation of a PBEsol-optimized structure of Cu2RhW, from Alexandria.

Unit cell a=4.6859 b=4.6859 c=2.6668 alpha=90.00 beta=90.00 gamma=115.98
Sites, in units of the cell vectors:
1 Cu 0.0000 0.5000 0.0000
2 Cu 0.5000 0.0000 0.0000
3 Rh 0.0000 0.0000 0.5000
4 W 0.5000 0.5000 0.5000

Output
The value obtained for the magnetization is 0.000 μB per atom. Its volume is 13.16 A^3/atom. As for the crystal system: orthorhombic.

Most stable structure, least stable structure: ii, i.

i:
The following is a SCAN calculation of a PBEsol-optimized structure of Cu2RhW, from Alexandria.

Unit cell a=4.2098 b=4.2098 c=4.2098 alpha=60.00 beta=60.00 gamma=60.00
Sites, in units of the cell vectors:
1 Cu 0.0000 0.0000 0.0000
2 Cu 0.2500 0.2500 0.2500
3 Rh 0.7500 0.7500 0.7500
4 W 0.5000 0.5000 0.5000

Output
The value obtained for the magnetization is 0.001 μB per atom. Its volume is 13.19 A^3/atom. As for the crystal system: cubic.

ii:
The following is a SCAN calculation of a PBEsol-optimized structure of Cu2RhW, from Alexandria.

Unit cell a=4.3007 b=4.3007 c=2.8064 alpha=90.00 beta=90.00 gamma=90.00
Sites, in units of the cell vectors:
1 Cu 0.0000 0.5000 0.0000
2 Cu 0.5000 0.0000 0.0000
3 Rh 0.0000 0.0000 0.5000
4 W 0.5000 0.5000 0.5000

Output
The value obtained for the magnetization is 0.000 μB per atom. Its volume is 12.98 A^3/atom. As for the crystal system: tetragonal.

Most stable structure, least stable structure: i, ii.

i:
The following is a SCAN calculation of a PBEsol-optimized structure of TaCuRu, from Alexandria.

Unit cell a=4.7114 b=4.7114 c=4.7114 alpha=139.99 beta=139.99 gamma=57.87
Sites, in units of the cell vectors:
1 Ta 0.0000 0.0000 0.0000
2 Cu 0.6696 0.6696 0.0000
3 Ru 0.3396 0.3396 0.0000

Output
The value obtained for the magnetization is 0.005 μB per atom. Its volume is 14.28 A^3/atom. As for the crystal system: tetragonal.

ii:
The following is a SCAN calculation of a PBEsol-optimized structure of TaCuRu, from Alexandria.

Unit cell a=4.1606 b=4.1606 c=4.1606 alpha=60.00 beta=60.00 gamma=60.00
Sites, in units of the cell vectors:
1 Ta 0.0000 0.0000 0.0000
2 Cu 0.7500 0.7500 0.7500
3 Ru 0.2500 0.2500 0.2500

Output
The value obtained for the magnetization is 0.000 μB per atom. Its volume is 16.98 A^3/atom. As for the crystal system: cubic.

Most stable structure, least stable structure: i, ii.

i:
The following is a SCAN calculation of a PBEsol-optimized structure of TaCu2Ru, from Alexandria.

Unit cell a=2.6971 b=4.0664 c=5.0158 alpha=90.00 beta=99.19 gamma=90.00
Sites, in units of the cell vectors:
1 Ta 0.0000 0.0000 0.0000
2 Cu 0.5719 0.5000 0.2463
3 Cu 0.6500 0.0000 0.4893
4 Ru 0.2256 0.5000 0.7230

Output
The value obtained for the magnetization is 0.000 μB per atom. Its volume is 13.58 A^3/atom. As for the crystal system: monoclinic.

ii:
The following is a SCAN calculation of a PBEsol-optimized structure of TaCu2Ru, from Alexandria.

Unit cell a=4.6160 b=4.6160 c=4.6160 alpha=131.74 beta=131.74 gamma=70.65
Sites, in units of the cell vectors:
1 Ta 0.0000 0.0000 0.0000
2 Cu 0.2500 0.7500 0.5000
3 Cu 0.5000 0.5000 0.0000
4 Ru 0.7500 0.2500 0.5000

Output
The value obtained for the magnetization is 0.000 μB per atom. Its volume is 13.41 A^3/atom. As for the crystal system: tetragonal.

Most stable structure, least stable structure: ii, i.

i:
The following is a SCAN calculation of a PBEsol-optimized structure of Cu2TcRu, from Alexandria.

Unit cell a=2.6803 b=3.6495 c=5.1899 alpha=90.00 beta=90.00 gamma=90.00
Sites, in units of the cell vectors:
1 Cu 0.0000 0.0000 0.0000
2 Cu 0.5000 0.5000 0.2183
3 Tc 0.5000 0.5000 0.7221
4 Ru 0.0000 0.0000 0.4969

Output
The value obtained for the magnetization is 0.000 μB per atom. Its volume is 12.69 A^3/atom. As for the crystal system: orthorhombic.

ii:
The following is a SCAN calculation of a PBEsol-optimized structure of Cu2TcRu, from Alexandria.

Unit cell a=4.7307 b=4.7307 c=4.7307 alpha=136.11 beta=135.65 gamma=64.17
Sites, in units of the cell vectors:
1 Cu 0.2500 0.2500 0.0000
2 Cu 0.7500 0.7500 0.0000
3 Tc 0.5000 0.0000 0.5000
4 Ru 0.0000 0.5000 0.5000

Output
The value obtained for the magnetization is 0.000 μB per atom. Its volume is 12.65 A^3/atom. As for the crystal system: orthorhombic.

iii:
The following is a SCAN calculation of a PBEsol-optimized structure of Cu2TcRu, from Alexandria.

Unit cell a=2.5756 b=2.5756 c=8.6319 alpha=90.00 beta=90.00 gamma=115.46
Sites, in units of the cell vectors:
1 Cu 0.0000 0.0000 0.0000
2 Cu 0.5000 0.5000 0.2340
3 Tc 0.0000 0.0000 0.4925
4 Ru 0.5000 0.5000 0.7437

Output
The value obtained for the magnetization is 0.142 μB per atom. Its volume is 12.92 A^3/atom. As for the crystal system: orthorhombic.

iv:
The following is a SCAN calculation of a PBEsol-optimized structure of Cu2TcRu, from Alexandria.

Unit cell a=4.4888 b=2.6191 c=4.5682 alpha=90.00 beta=108.93 gamma=90.00
Sites, in units of the cell vectors:
1 Cu 0.0000 0.0000 0.0000
2 Cu 0.5000 0.5000 0.0000
3 Tc 0.0000 0.5000 0.5000
4 Ru 0.5000 0.0000 0.5000

Output
The value obtained for the magnetization is 0.000 μB per atom. Its volume is 12.70 A^3/atom. As for the crystal system: monoclinic.

Most stable structure, least stable structure: i, ii.

i:
The following is a SCAN calculation of a PBEsol-optimized structure of Cu2TcRu, from Alexandria.

Unit cell a=4.6526 b=4.6526 c=2.6116 alpha=90.00 beta=90.00 gamma=116.44
Sites, in units of the cell vectors:
1 Cu 0.0000 0.5000 0.0000
2 Cu 0.5000 0.0000 0.0000
3 Tc 0.0000 0.0000 0.5000
4 Ru 0.5000 0.5000 0.5000

Output
The value obtained for the magnetization is 0.000 μB per atom. Its volume is 12.65 A^3/atom. As for the crystal system: orthorhombic.

ii:
The following is a SCAN calculation of a PBEsol-optimized structure of Cu2TcRu, from Alexandria.

Unit cell a=4.4934 b=4.4934 c=4.5383 alpha=99.06 beta=99.06 gamma=34.02
Sites, in units of the cell vectors:
1 Cu 0.0000 0.0000 0.0000
2 Cu 0.7459 0.7459 0.2028
3 Tc 0.4985 0.4985 0.4975
4 Ru 0.2503 0.2503 0.7047

Output
The value obtained for the magnetization is 0.000 μB per atom. Its volume is 12.64 A^3/atom. As for the crystal system: monoclinic.

Most stable structure, least stable structure: ii, i.

i:
The following is a SCAN calculation of a PBEsol-optimized structure of CuTc2Ru, from Alexandria.

Unit cell a=4.6111 b=4.6111 c=2.6684 alpha=90.00 beta=90.00 gamma=111.31
Sites, in units of the cell vectors:
1 Cu 0.0000 0.0000 0.0000
2 Tc 0.0000 0.5000 0.5000
3 Tc 0.5000 0.0000 0.5000
4 Ru 0.5000 0.5000 0.0000

Output
The value obtained for the magnetization is 0.000 μB per atom. Its volume is 13.21 A^3/atom. As for the crystal system: orthorhombic.

ii:
The following is a SCAN calculation of a PBEsol-optimized structure of CuTc2Ru, from Alexandria.

Unit cell a=8.7927 b=8.7927 c=8.7927 alpha=17.47 beta=17.47 gamma=17.47
Sites, in units of the cell vectors:
1 Cu 0.0000 0.0000 0.0000
2 Tc 0.2492 0.2492 0.2492
3 Tc 0.4989 0.4989 0.4989
4 Ru 0.7496 0.7496 0.7496

Output
The value obtained for the magnetization is 0.000 μB per atom. Its volume is 13.37 A^3/atom. As for the crystal system: trigonal.

iii:
The following is a SCAN calculation of a PBEsol-optimized structure of CuTc2Ru, from Alexandria.

Unit cell a=4.6211 b=4.6211 c=4.5997 alpha=99.14 beta=99.14 gamma=33.27
Sites, in units of the cell vectors:
1 Cu 0.0000 0.0000 0.0000
2 Tc 0.2475 0.2475 0.7505
3 Tc 0.4959 0.4959 0.4965
4 Ru 0.7541 0.7541 0.2533

Output
The value obtained for the magnetization is 0.000 μB per atom. Its volume is 13.28 A^3/atom. As for the crystal system: monoclinic.

Most stable structure, least stable structure: ii, i.

i:
The following is a SCAN calculation of a PBEsol-optimized structure of CuRuW2, from Alexandria.

Unit cell a=2.7292 b=2.7292 c=7.5791 alpha=90.00 beta=90.00 gamma=90.00
Sites, in units of the cell vectors:
1 Cu 0.0000 0.0000 0.0000
2 Ru 0.0000 0.0000 0.5000
3 W 0.5000 0.5000 0.2492
4 W 0.5000 0.5000 0.7508

Output
The value obtained for the magnetization is 0.000 μB per atom. Its volume is 14.11 A^3/atom. As for the crystal system: tetragonal.

ii:
The following is a SCAN calculation of a PBEsol-optimized structure of CuRuW2, from Alexandria.

Unit cell a=2.7305 b=2.7305 c=7.6149 alpha=90.00 beta=90.00 gamma=90.00
Sites, in units of the cell vectors:
1 Cu 0.0000 0.0000 0.0000
2 Ru 0.5000 0.5000 0.2350
3 W 0.0000 0.0000 0.4723
4 W 0.5000 0.5000 0.7596

Output
The value obtained for the magnetization is 0.000 μB per atom. Its volume is 14.19 A^3/atom. As for the crystal system: tetragonal.

Most stable structure, least stable structure: i, ii.

i:
The following is a SCAN calculation of a PBEsol-optimized structure of Cu2RuW, from Alexandria.

Unit cell a=4.5722 b=4.5722 c=4.5722 alpha=132.06 beta=132.06 gamma=70.13
Sites, in units of the cell vectors:
1 Cu 0.0000 0.0000 0.0000
2 Cu 0.7500 0.2500 0.5000
3 Ru 0.5000 0.5000 0.0000
4 W 0.2500 0.7500 0.5000

Output
The value obtained for the magnetization is 0.000 μB per atom. Its volume is 12.91 A^3/atom. As for the crystal system: tetragonal.

ii:
The following is a SCAN calculation of a PBEsol-optimized structure of Cu2RuW, from Alexandria.

Unit cell a=2.6445 b=4.0442 c=4.9962 alpha=90.00 beta=100.65 gamma=90.00
Sites, in units of the cell vectors:
1 Cu 0.0000 0.0000 0.0000
2 Cu 0.0801 0.5000 0.2399
3 Ru 0.6616 0.0000 0.4869
4 W 0.4174 0.5000 0.7510

Output
The value obtained for the magnetization is 0.000 μB per atom. Its volume is 13.13 A^3/atom. As for the crystal system: monoclinic.

iii:
The following is a SCAN calculation of a PBEsol-optimized structure of Cu2RuW, from Alexandria.

Unit cell a=3.0795 b=3.0795 c=5.5412 alpha=90.00 beta=90.00 gamma=90.00
Sites, in units of the cell vectors:
1 Cu 0.0000 0.0000 0.0000
2 Cu 0.5000 0.5000 0.2051
3 Ru 0.0000 0.0000 0.4798
4 W 0.5000 0.5000 0.7240

Output
The value obtained for the magnetization is 0.000 μB per atom. Its volume is 13.14 A^3/atom. As for the crystal system: tetragonal.

Most stable structure, least stable structure: i, ii.

i:
The following is a SCAN calculation of a PBEsol-optimized structure of YCuRu2, from Alexandria.

Unit cell a=3.8985 b=3.8985 c=4.0675 alpha=90.00 beta=90.00 gamma=90.00
Sites, in units of the cell vectors:
1 Y 0.0000 0.0000 0.0000
2 Cu 0.5000 0.5000 0.0000
3 Ru 0.0000 0.5000 0.5000
4 Ru 0.5000 0.0000 0.5000

Output
The value obtained for the magnetization is 0.000 μB per atom. Its volume is 15.46 A^3/atom. As for the crystal system: tetragonal.

ii:
The following is a SCAN calculation of a PBEsol-optimized structure of YCuRu2, from Alexandria.

Unit cell a=4.4550 b=4.4550 c=4.4550 alpha=60.00 beta=60.00 gamma=60.00
Sites, in units of the cell vectors:
1 Y 0.0000 0.0000 0.0000
2 Cu 0.2500 0.2500 0.2500
3 Ru 0.5000 0.5000 0.5000
4 Ru 0.7500 0.7500 0.7500

Output
The value obtained for the magnetization is 0.000 μB per atom. Its volume is 15.63 A^3/atom. As for the crystal system: cubic.

Most stable structure, least stable structure: i, ii.